1.
Here is PrErPdRu after structural relaxation from Alexandria via LeMat-Bulk. Energies are from GGA-PBE.

Calculated volume: 21.60 Å³/atom
Energy of formation: -515 meV/atom
Fermi-level density of states: 2.8 states/eV per cell

a = 4.9621 Å, b = 4.9621 Å, c = 4.9621 Å
α = 60.00°, β = 60.00°, γ = 60.00°
Fractional coordinates of all 4 atoms:
Pr  0.0000  0.0000  0.0000
Er  0.5000  0.5000  0.5000
Pd  0.2500  0.2500  0.2500
Ru  0.7500  0.7500  0.7500



2.
Here is PrErSiPd after structural relaxation from Alexandria via LeMat-Bulk. Energies are from GGA-PBE.

Calculated volume: 23.06 Å³/atom
E_tot: -5.639 eV/atom
Fermi-level density of states: 2.3 states/eV per cell

a = 5.0717 Å, b = 5.0717 Å, c = 5.0717 Å
α = 60.00°, β = 60.00°, γ = 60.00°
Fractional coordinates of all 4 atoms:
Pr  0.0000  0.0000  0.0000
Er  0.5000  0.5000  0.5000
Si  0.7500  0.7500  0.7500
Pd  0.2500  0.2500  0.2500



3.
Here is PrErSi2Pd5 after structural relaxation from Alexandria via LeMat-Bulk. Energies are from GGA-PBE.

Calculated volume: 17.89 Å³/atom
E_tot: -6.002 eV/atom
Fermi-level density of states: 3.1 states/eV per cell

a = 4.2232 Å, b = 4.2232 Å, c = 9.0263 Å
α = 90.00°, β = 90.00°, γ = 90.00°
Fractional coordinates of all 9 atoms:
Pr  0.0000  0.0000  0.0000
Er  0.0000  0.0000  0.5000
Si  0.5000  0.5000  0.3704
Si  0.5000  0.5000  0.6296
Pd  0.0000  0.5000  0.2392
Pd  0.0000  0.5000  0.7608
Pd  0.5000  0.0000  0.2392
Pd  0.5000  0.0000  0.7608
Pd  0.5000  0.5000  0.0000



4.
Here is PrErSi2Pd2 after structural relaxation from Alexandria via LeMat-Bulk. Energies are from GGA-PBE.

Calculated volume: 20.22 Å³/atom
E_tot: -6.009 eV/atom
Fermi-level density of states: 4.5 states/eV per cell

a = 4.3564 Å, b = 4.3564 Å, c = 7.3810 Å
α = 90.00°, β = 90.00°, γ = 120.00°
Fractional coordinates of all 6 atoms:
Pr  0.0000  0.0000  0.0000
Er  0.0000  0.0000  0.5000
Si  0.3333  0.6667  0.2725
Si  0.6667  0.3333  0.7275
Pd  0.3333  0.6667  0.7078
Pd  0.6667  0.3333  0.2922



5.
Here is PrErSnPd after structural relaxation from Alexandria via LeMat-Bulk. Energies are from GGA-PBE.

Calculated volume: 25.54 Å³/atom
Energy of formation: -689 meV/atom
Fermi-level density of states: 2.9 states/eV per cell

a = 5.2472 Å, b = 5.2472 Å, c = 5.2472 Å
α = 60.00°, β = 60.00°, γ = 60.00°
Fractional coordinates of all 4 atoms:
Pr  0.0000  0.0000  0.0000
Er  0.5000  0.5000  0.5000
Sn  0.2500  0.2500  0.2500
Pd  0.7500  0.7500  0.7500



6.
Here is PrErTlPd after structural relaxation from Alexandria via LeMat-Bulk. Energies are from GGA-PBE.

Calculated volume: 25.78 Å³/atom
Energy of formation: -495 meV/atom
Fermi-level density of states: 4.0 states/eV per cell

a = 5.2637 Å, b = 5.2637 Å, c = 5.2637 Å
α = 60.00°, β = 60.00°, γ = 60.00°
Fractional coordinates of all 4 atoms:
Pr  0.0000  0.0000  0.0000
Er  0.5000  0.5000  0.5000
Tl  0.7500  0.7500  0.7500
Pd  0.2500  0.2500  0.2500



7.
Here is PrErZnPd after structural relaxation from Alexandria via LeMat-Bulk. Energies are from GGA-PBE.

Calculated volume: 23.34 Å³/atom
Energy of formation: -536 meV/atom
Fermi-level density of states: 3.2 states/eV per cell
Energy relative to the lowest polymorph listed for this composition: 43 meV/atom

a = 5.0920 Å, b = 5.0920 Å, c = 5.0920 Å
α = 60.00°, β = 60.00°, γ = 60.00°
Fractional coordinates of all 4 atoms:
Pr  0.0000  0.0000  0.0000
Er  0.5000  0.5000  0.5000
Zn  0.2500  0.2500  0.2500
Pd  0.7500  0.7500  0.7500



8.
Here is PrErZnPd after structural relaxation from Alexandria via LeMat-Bulk. Energies are from GGA-PBE.

Calculated volume: 23.21 Å³/atom
Energy of formation: -578 meV/atom
Fermi-level density of states: 3.6 states/eV per cell
Energy relative to the lowest polymorph listed for this composition: 0 meV/atom

a = 3.6087 Å, b = 3.6087 Å, c = 7.1289 Å
α = 90.00°, β = 90.00°, γ = 90.00°
Fractional coordinates of all 4 atoms:
Pr  0.0000  0.0000  0.0000
Er  0.0000  0.0000  0.4902
Zn  0.5000  0.5000  0.7239
Pd  0.5000  0.5000  0.2810



9.
Here is PrErZn2Pd5 after structural relaxation from Alexandria via LeMat-Bulk. Energies are from GGA-PBE.

Calculated volume: 18.46 Å³/atom
Energy of formation: -639 meV/atom
Fermi-level density of states: 4.4 states/eV per cell

a = 4.1982 Å, b = 4.1982 Å, c = 9.4246 Å
α = 90.00°, β = 90.00°, γ = 90.00°
Fractional coordinates of all 9 atoms:
Pr  0.0000  0.0000  0.0000
Er  0.0000  0.0000  0.5000
Zn  0.5000  0.5000  0.3733
Zn  0.5000  0.5000  0.6267
Pd  0.0000  0.5000  0.2303
Pd  0.0000  0.5000  0.7697
Pd  0.5000  0.0000  0.2303
Pd  0.5000  0.0000  0.7697
Pd  0.5000  0.5000  0.0000



10.
Here is Er4PdPt7 after structural relaxation from Alexandria via LeMat-Bulk. Energies are from GGA-PBE.

Calculated volume: 20.46 Å³/atom
Energy of formation: -849 meV/atom
Fermi-level density of states: 5.6 states/eV per cell

a = 5.8925 Å, b = 5.8925 Å, c = 10.2616 Å
α = 116.04°, β = 116.04°, γ = 52.19°
Fractional coordinates of all 12 atoms:
Er  0.0967  0.0967  0.2879
Er  0.2860  0.2860  0.8615
Er  0.7140  0.7140  0.1385
Er  0.9033  0.9033  0.7121
Pd  0.5000  0.5000  0.5000
Pt  0.0000  0.0000  0.5000
Pt  0.1348  0.1348  0.0266
Pt  0.2907  0.2907  0.5956
Pt  0.4246  0.4246  0.1933
Pt  0.5754  0.5754  0.8067
Pt  0.7093  0.7093  0.4044
Pt  0.8652  0.8652  0.9734



11.
Here is Er3PdPt3 after structural relaxation from Alexandria via LeMat-Bulk. Energies are from GGA-PBE.

Calculated volume: 21.07 Å³/atom
Energy of formation: -1100 meV/atom
Fermi-level density of states: 14.1 states/eV per cell

a = 8.3869 Å, b = 8.3869 Å, c = 8.3869 Å
α = 90.00°, β = 90.00°, γ = 90.00°
Fractional coordinates of all 28 atoms:
Er  0.0041  0.2691  0.8761
Er  0.1239  0.5041  0.2309
Er  0.2309  0.1239  0.5041
Er  0.2691  0.8761  0.0041
Er  0.3761  0.4959  0.7309
Er  0.4959  0.7309  0.3761
Er  0.5041  0.2309  0.1239
Er  0.6239  0.9959  0.7691
Er  0.7309  0.3761  0.4959
Er  0.7691  0.6239  0.9959
Er  0.8761  0.0041  0.2691
Er  0.9959  0.7691  0.6239
Pd  0.0723  0.4277  0.5723
Pd  0.4277  0.5723  0.0723
Pd  0.5723  0.0723  0.4277
Pd  0.9277  0.9277  0.9277
Pt  0.1010  0.6010  0.8990
Pt  0.1607  0.1607  0.1607
Pt  0.1667  0.8333  0.3333
Pt  0.3333  0.1667  0.8333
Pt  0.3393  0.8393  0.6607
Pt  0.3990  0.3990  0.3990
Pt  0.6010  0.8990  0.1010
Pt  0.6607  0.3393  0.8393
Pt  0.6667  0.6667  0.6667
Pt  0.8333  0.3333  0.1667
Pt  0.8393  0.6607  0.3393
Pt  0.8990  0.1010  0.6010



12.
Here is Er2Pd3Pt3 after structural relaxation from Alexandria via LeMat-Bulk. Energies are from GGA-PBE.

Calculated volume: 17.23 Å³/atom
Energy of formation: -988 meV/atom
Fermi-level density of states: 10.0 states/eV per cell

a = 4.0959 Å, b = 4.1227 Å, c = 8.1621 Å
α = 90.00°, β = 90.00°, γ = 90.00°
Fractional coordinates of all 8 atoms:
Er  0.0000  0.0000  0.2502
Er  0.0000  0.0000  0.7498
Pd  0.0000  0.5000  0.0000
Pd  0.5000  0.0000  0.0000
Pd  0.5000  0.0000  0.5000
Pt  0.0000  0.5000  0.5000
Pt  0.5000  0.5000  0.2497
Pt  0.5000  0.5000  0.7503



13.
Here is Er4Pd2Pt after structural relaxation from Alexandria via LeMat-Bulk. Energies are from GGA-PBE.

Calculated volume: 23.47 Å³/atom
Energy of formation: -874 meV/atom
Fermi-level density of states: 3.7 states/eV per cell

a = 8.4844 Å, b = 8.4844 Å, c = 8.4844 Å
α = 33.34°, β = 33.34°, γ = 33.34°
Fractional coordinates of all 7 atoms:
Er  0.1246  0.1246  0.1246
Er  0.3747  0.3747  0.3747
Er  0.6253  0.6253  0.6253
Er  0.8754  0.8754  0.8754
Pd  0.2478  0.2478  0.2478
Pd  0.7522  0.7522  0.7522
Pt  0.0000  0.0000  0.0000



14.
Here is Er4PdPt after structural relaxation from Alexandria via LeMat-Bulk. Energies are from GGA-PBE.

Calculated volume: 26.64 Å³/atom
Energy of formation: -705 meV/atom
Fermi-level density of states: 5.8 states/eV per cell

a = 4.8332 Å, b = 4.8332 Å, c = 6.8415 Å
α = 90.00°, β = 90.00°, γ = 90.00°
Fractional coordinates of all 6 atoms:
Er  0.0000  0.5000  0.2467
Er  0.0000  0.5000  0.7533
Er  0.5000  0.0000  0.2467
Er  0.5000  0.0000  0.7533
Pd  0.0000  0.0000  0.5000
Pt  0.5000  0.5000  0.0000



15.
Here is ErPd2Pt7 after structural relaxation from Alexandria via LeMat-Bulk. Energies are from GGA-PBE.

Calculated volume: 20.78 Å³/atom
Energy of formation: 87 meV/atom
Fermi-level density of states: 15.7 states/eV per cell

a = 7.5232 Å, b = 7.5232 Å, c = 4.4099 Å
α = 90.00°, β = 90.00°, γ = 123.64°
Fractional coordinates of all 10 atoms:
Er  0.0000  0.0000  0.0000
Pd  0.2990  0.7010  0.5000
Pd  0.7010  0.2990  0.5000
Pt  0.0765  0.2915  0.5000
Pt  0.2018  0.7982  0.0000
Pt  0.2915  0.0765  0.5000
Pt  0.5000  0.5000  0.5000
Pt  0.7085  0.9235  0.5000
Pt  0.7982  0.2018  0.0000
Pt  0.9235  0.7085  0.5000



16.
Here is Er4PdPt2 after structural relaxation from Alexandria via LeMat-Bulk. Energies are from GGA-PBE.

Calculated volume: 24.69 Å³/atom
Energy of formation: -991 meV/atom
Fermi-level density of states: 2.9 states/eV per cell
Energy relative to the lowest polymorph listed for this composition: 36 meV/atom

a = 10.2901 Å, b = 10.2901 Å, c = 10.2901 Å
α = 25.13°, β = 25.13°, γ = 25.13°
Fractional coordinates of all 7 atoms:
Er  0.1197  0.1197  0.1197
Er  0.2971  0.2971  0.2971
Er  0.7029  0.7029  0.7029
Er  0.8803  0.8803  0.8803
Pd  0.5000  0.5000  0.5000
Pt  0.4042  0.4042  0.4042
Pt  0.5958  0.5958  0.5958



17.
Here is ErPd4Pt after structural relaxation from Alexandria via LeMat-Bulk. Energies are from GGA-PBE.

Calculated volume: 18.58 Å³/atom
Energy of formation: -432 meV/atom
Fermi-level density of states: 6.0 states/eV per cell
Energy relative to the lowest polymorph listed for this composition: 187 meV/atom

a = 10.4148 Å, b = 10.4148 Å, c = 4.6798 Å
α = 90.00°, β = 90.00°, γ = 153.95°
Fractional coordinates of all 12 atoms:
Er  0.1694  0.8306  0.5000
Er  0.8306  0.1694  0.0000
Pd  0.0957  0.9043  0.9986
Pd  0.2512  0.7488  0.0043
Pd  0.3293  0.6707  0.5068
Pd  0.4678  0.5322  0.5119
Pd  0.5322  0.4678  0.0119
Pd  0.6707  0.3293  0.0068
Pd  0.7488  0.2512  0.5043
Pd  0.9043  0.0957  0.4986
Pt  0.4017  0.5983  0.0103
Pt  0.5983  0.4017  0.5103



18.
Here is ErPd5Pt after structural relaxation from Alexandria via LeMat-Bulk. Energies are from GGA-PBE.

Calculated volume: 18.12 Å³/atom
Energy of formation: -289 meV/atom
Fermi-level density of states: 6.3 states/eV per cell

a = 5.9870 Å, b = 5.9870 Å, c = 5.9870 Å
α = 130.48°, β = 127.00°, γ = 75.46°
Fractional coordinates of all 7 atoms:
Er  0.0000  0.0000  0.0000
Pd  0.0036  0.7489  0.2547
Pd  0.2752  0.2752  0.0000
Pd  0.4942  0.7489  0.7453
Pd  0.5209  0.2702  0.7493
Pd  0.5209  0.7716  0.2507
Pt  0.7846  0.2846  0.5000



19.
Here is Er2Pd3Pt after structural relaxation from Alexandria via LeMat-Bulk. Energies are from GGA-PBE.

Calculated volume: 20.28 Å³/atom
Energy of formation: -812 meV/atom
Fermi-level density of states: 12.0 states/eV per cell
Energy relative to the lowest polymorph listed for this composition: 0 meV/atom

a = 10.3731 Å, b = 7.8154 Å, c = 9.5294 Å
α = 72.70°, β = 46.00°, γ = 61.30°
Fractional coordinates of all 24 atoms:
Er  0.1810  0.7953  0.0155
Er  0.2345  0.2418  0.0690
Er  0.2418  0.2345  0.4547
Er  0.3130  0.6870  0.3714
Er  0.6214  0.8786  0.5630
Er  0.6870  0.3130  0.6286
Er  0.7953  0.1810  0.0082
Er  0.8786  0.6214  0.9370
Pd  0.0456  0.9818  0.3269
Pd  0.0710  0.5807  0.3629
Pd  0.2053  0.2053  0.7947
Pd  0.2646  0.8871  0.6693
Pd  0.4553  0.4553  0.0447
Pd  0.5797  0.5797  0.4203
Pd  0.5807  0.0710  0.9854
Pd  0.6042  0.9231  0.2682
Pd  0.8297  0.8297  0.6703
Pd  0.8871  0.2646  0.1790
Pd  0.9231  0.6042  0.2044
Pd  0.9818  0.0456  0.6458
Pt  0.2678  0.5176  0.7758
Pt  0.4742  0.8112  0.9822
Pt  0.5176  0.2678  0.4388
Pt  0.8112  0.4742  0.7324



20.
Here is ErPd2Pt3 after structural relaxation from Alexandria via LeMat-Bulk. Energies are from GGA-PBE.

Calculated volume: 17.97 Å³/atom
Energy of formation: -436 meV/atom
Fermi-level density of states: 5.2 states/eV per cell

a = 7.3622 Å, b = 7.3622 Å, c = 7.3622 Å
α = 149.05°, β = 148.20°, γ = 44.97°
Fractional coordinates of all 6 atoms:
Er  0.0000  0.0000  0.0000
Pd  0.1576  0.6576  0.5000
Pd  0.8424  0.3424  0.5000
Pt  0.3522  0.8522  0.5000
Pt  0.5000  0.5000  0.0000
Pt  0.6478  0.1478  0.5000